Compound: Ca2YAs
Source: the Alexandria database
Functional: PBE-GGA
Structure: optimized geometry

N(E_F), states/eV/f.u.: 5.1
Total DFT energy (no corrections), eV per atom: -4.1171

Cell lengths 4.6218, 4.6482, 5.0646 Å; angles 90.00, 90.00, 90.00 degrees
Last column: nearest neighbours and their distance in Å.
Positions (direct):
Ca 0.0000 0.0000 0.0000  4 Ca 3.28, 4 As 3.43, 4 Y 3.44
Ca 0.5000 0.5000 0.0000  4 Ca 3.28, 4 Y 3.43, 4 As 3.44
Y 0.0000 0.5000 0.5000  4 As 3.28, 8 Ca 3.43-3.44
As 0.5000 0.0000 0.5000  4 Y 3.28, 8 Ca 3.43-3.44

Compound: CaYAs
Source: the Alexandria database
Functional: PBE-GGA
Structure: optimized geometry

N(E_F), states/eV/f.u.: 3.0
Total DFT energy (no corrections), eV per atom: -5.2666

Cell lengths 4.0452, 4.0452, 5.8513 Å; angles 90.00, 90.00, 90.00 degrees
Last column: nearest neighbours and their distance in Å.
Positions (direct):
Ca 0.0000 0.0000 0.0000  2 As 2.93
Y 0.5000 0.5000 0.5000  4 As 2.86
As 0.0000 0.0000 0.5000  4 Y 2.86, 2 Ca 2.93

Compound: CaYAs2
Source: the Alexandria database
Functional: PBE-GGA
Structure: optimized geometry

N(E_F), states/eV/f.u.: 3.5
Offset from the most stable computed form, meV/atom: 33.2

Cell lengths 4.1717, 4.1717, 5.9115 Å; angles 90.00, 90.00, 90.00 degrees
Last column: nearest neighbours and their distance in Å.
Positions (direct):
Ca 0.0000 0.0000 0.0000  6 As 2.95-2.96
Y 0.5000 0.5000 0.5000  6 As 2.95-2.96
As 0.0000 0.0000 0.5000  4 Y 2.95, 2 Ca 2.96
As 0.5000 0.5000 0.0000  4 Ca 2.95, 2 Y 2.96

Compound: Ca2YAs
Source: the Alexandria database
Functional: PBE-GGA
Structure: optimized geometry

N(E_F), states/eV/f.u.: 3.7
Total DFT energy (no corrections), eV per atom: -4.2097

Cell lengths 3.6335, 3.6335, 9.2969 Å; angles 90.00, 90.00, 90.00 degrees
Last column: nearest neighbours and their distance in Å.
Positions (direct):
Ca 0.0000 0.0000 0.1809  4 As 3.07, 1 Ca 3.36
Ca 0.0000 0.0000 0.8191  4 As 3.07, 1 Ca 3.36
Y 0.5000 0.5000 0.5000  4 Y 3.63, 8 Ca 3.92
As 0.5000 0.5000 0.0000  8 Ca 3.07

Compound: Ca2YAs
Source: the Alexandria database
Functional: PBE-GGA
Structure: optimized geometry

N(E_F), states/eV/f.u.: 4.8
Total DFT energy (no corrections), eV per atom: -3.9042

Cell lengths 5.4136, 5.4136, 5.4136 Å; angles 60.00, 60.00, 60.00 degrees
Last column: nearest neighbours and their distance in Å.
Positions (direct):
Ca 0.0000 0.0000 0.0000  4 Y 3.32, 4 Ca 3.32
Ca 0.2500 0.2500 0.2500  4 As 3.32, 4 Ca 3.32
Y 0.7500 0.7500 0.7500  4 As 3.32, 4 Ca 3.32
As 0.5000 0.5000 0.5000  4 Ca 3.32, 4 Y 3.32

Compound: CaYAs2
Source: the Alexandria database
Functional: PBE-GGA
Structure: optimized geometry

N(E_F), states/eV/f.u.: 2.0
Offset from the most stable computed form, meV/atom: 105.7

Cell lengths 5.9218, 5.9218, 4.3761 Å; angles 95.24, 95.24, 39.39 degrees
Last column: nearest neighbours and their distance in Å.
Positions (direct):
Ca 0.0000 0.0000 0.0000  5 As 2.92-2.99
Y 0.7453 0.7453 0.5034  7 As 2.94-3.27
As 0.2623 0.2623 0.0165  1 Ca 2.92, 4 Y 2.94-3.00, 1 As 3.01
As 0.4774 0.4774 0.4885  4 Ca 2.95-2.99, 3 Y 2.98-3.27, 1 As 3.01

Compound: CaY2As2
Source: the Alexandria database
Functional: PBE-GGA
Structure: optimized geometry

N(E_F), states/eV/f.u.: 5.0
Offset from the most stable computed form, meV/atom: 337.1

Cell lengths 7.3051, 7.3051, 7.3051 Å; angles 142.80, 142.80, 53.63 degrees
Last column: nearest neighbours and their distance in Å.
Positions (direct):
Ca 0.0000 0.0000 0.0000  8 As 3.64, 8 Y 4.01
Y 0.2500 0.7500 0.5000  4 As 2.89
Y 0.7500 0.2500 0.5000  4 As 2.89
As 0.3806 0.3806 0.0000  4 Y 2.89, 1 As 3.11
As 0.6194 0.6194 0.0000  4 Y 2.89, 1 As 3.11

Compound: Ca2YAs
Source: the Alexandria database
Functional: PBE-GGA
Structure: optimized geometry

N(E_F), states/eV/f.u.: 3.6
Total DFT energy (no corrections), eV per atom: -4.3996

Cell lengths 10.1721, 10.1721, 10.1721 Å; angles 23.04, 23.04, 23.04 degrees
Last column: nearest neighbours and their distance in Å.
Positions (direct):
Ca 0.0000 0.0000 0.0000  3 As 2.93
Ca 0.2193 0.2193 0.2193  3 Y 3.97, 9 Ca 4.06-4.12
Y 0.4448 0.4448 0.4448  3 As 2.81
As 0.7258 0.7258 0.7258  3 Y 2.81, 3 Ca 2.93

Compound: CaYAs
Source: the Alexandria database
Functional: PBE-GGA
Structure: optimized geometry

N(E_F), states/eV/f.u.: 1.6
Total DFT energy (no corrections), eV per atom: -5.1128

Cell lengths 6.9425, 6.9425, 6.9425 Å; angles 149.32, 149.32, 43.94 degrees
Last column: nearest neighbours and their distance in Å.
Positions (direct):
Ca 0.0000 0.0000 0.0000  4 As 3.22, 1 Y 3.31
Y 0.2573 0.2573 0.0000  4 As 2.96
As 0.6477 0.6477 0.0000  4 Y 2.96, 4 Ca 3.22

Compound: Ca2YAs
Source: the Alexandria database
Functional: PBE-GGA
Structure: optimized geometry

N(E_F), states/eV/f.u.: 1.6
Total DFT energy (no corrections), eV per atom: -3.9880

Cell lengths 6.3562, 6.3562, 3.4853 Å; angles 98.48, 98.48, 119.53 degrees
Last column: nearest neighbours and their distance in Å.
Positions (direct):
Ca 0.0000 0.5000 0.0000  4 Ca 3.20-3.49, 2 As 3.39, 2 Y 3.39
Ca 0.5000 0.0000 0.0000  4 Ca 3.20-3.49, 2 As 3.39, 2 Y 3.39
Y 0.0000 0.0000 0.5000  2 As 3.20, 4 Ca 3.39, 2 Y 3.49
As 0.5000 0.5000 0.5000  2 Y 3.20, 4 Ca 3.39, 2 As 3.49

Compound: CaYAs2
Source: the Alexandria database
Functional: PBE-GGA
Structure: optimized geometry

N(E_F), states/eV/f.u.: 1.7
Offset from the most stable computed form, meV/atom: 207.9

Cell lengths 5.2029, 5.2029, 3.6549 Å; angles 98.76, 98.76, 93.63 degrees
Last column: nearest neighbours and their distance in Å.
Positions (direct):
Ca 0.0000 0.0000 0.0000  4 As 2.94
Y 0.5000 0.5000 0.0000  4 As 2.94
As 0.0000 0.5000 0.5000  2 Ca 2.94, 2 Y 2.94
As 0.5000 0.0000 0.5000  2 Ca 2.94, 2 Y 2.94

Compound: CaYAs
Source: the Alexandria database
Functional: PBE-GGA
Structure: optimized geometry

N(E_F), states/eV/f.u.: 3.2
Total DFT energy (no corrections), eV per atom: -5.1392

Cell lengths 4.8805, 4.8805, 4.8805 Å; angles 60.00, 60.00, 60.00 degrees
Last column: nearest neighbours and their distance in Å.
Positions (direct):
Ca 0.0000 0.0000 0.0000  4 As 2.99
Y 0.5000 0.5000 0.5000  4 As 2.99
As 0.2500 0.2500 0.2500  4 Y 2.99, 4 Ca 2.99

Compound: Ca2YAs
Source: the Alexandria database
Functional: PBE-GGA
Structure: optimized geometry

N(E_F), states/eV/f.u.: 0.8
Total DFT energy (no corrections), eV per atom: -4.1237

Cell lengths 6.2809, 6.2809, 6.2809 Å; angles 137.23, 137.23, 62.09 degrees
Last column: nearest neighbours and their distance in Å.
Positions (direct):
Ca 0.0000 0.0000 0.0000  4 As 3.24, 4 Ca 3.53, 4 Y 3.53
Ca 0.7500 0.2500 0.5000  4 Y 3.24, 4 As 3.53, 4 Ca 3.53
Y 0.2500 0.7500 0.5000  8 Ca 3.24-3.53, 4 As 3.53
As 0.5000 0.5000 0.0000  8 Ca 3.24-3.53, 4 Y 3.53

Compound: Ca2YAs
Source: the Alexandria database
Functional: PBE-GGA
Structure: optimized geometry

N(E_F), states/eV/f.u.: 1.5
Total DFT energy (no corrections), eV per atom: -4.3339

Cell lengths 6.8603, 6.8603, 6.8603 Å; angles 147.40, 133.45, 57.98 degrees
Last column: nearest neighbours and their distance in Å.
Positions (direct):
Ca 0.0000 0.0000 0.0000  4 As 3.33, 2 Ca 3.49, 2 Y 3.51
Ca 0.6838 0.1838 0.5000  2 As 3.03
Y 0.3137 0.8137 0.5000  2 As 2.85
As 0.4888 0.4888 0.0000  2 Y 2.85, 2 Ca 3.03

Compound: Ca2YAs
Source: the Alexandria database
Functional: PBE-GGA
Structure: optimized geometry

N(E_F), states/eV/f.u.: 2.3
Total DFT energy (no corrections), eV per atom: -4.1784

Cell lengths 6.5438, 6.5438, 6.5438 Å; angles 140.26, 140.26, 57.46 degrees
Last column: nearest neighbours and their distance in Å.
Positions (direct):
Ca 0.2500 0.7500 0.5000  4 Ca 3.15
Ca 0.7500 0.2500 0.5000  4 Ca 3.15
Y 0.0000 0.0000 0.0000  4 As 3.15
As 0.5000 0.5000 0.0000  4 Y 3.15

Compound: CaYAs
Source: the Alexandria database
Functional: PBE-GGA
Structure: optimized geometry

N(E_F), states/eV/f.u.: 1.3
Total DFT energy (no corrections), eV per atom: -5.1153

Cell lengths 7.0916, 6.9593, 3.6721 Å; angles 76.85, 72.87, 30.28 degrees
Last column: nearest neighbours and their distance in Å.
Positions (direct):
Ca 0.0000 0.0000 0.0000  4 As 3.08-3.36, 1 Y 3.41
Y 0.7387 0.7387 0.2613  4 As 2.84-3.15
As 0.3538 0.3538 0.6462  4 Y 2.84-3.15, 2 Ca 3.08

Compound: Ca2YAs
Source: the Alexandria database
Functional: PBE-GGA
Structure: optimized geometry

N(E_F), states/eV/f.u.: 2.9
Total DFT energy (no corrections), eV per atom: -4.2204

Cell lengths 4.3446, 4.3211, 6.3759 Å; angles 90.00, 99.22, 90.00 degrees
Last column: nearest neighbours and their distance in Å.
Positions (direct):
Ca 0.1006 0.0000 0.2794  2 As 2.98, 1 Ca 3.08
Ca 0.8994 0.0000 0.7206  2 As 2.98, 1 Ca 3.08
Y 0.5000 0.5000 0.0000  2 As 3.19, 4 Ca 3.44
As 0.5000 0.5000 0.5000  4 Ca 2.98, 2 Y 3.19

Compound: Ca2YAs
Source: the Alexandria database
Functional: PBE-GGA
Structure: optimized geometry

N(E_F), states/eV/f.u.: 3.8
Total DFT energy (no corrections), eV per atom: -4.1573

Cell lengths 7.5466, 7.5466, 7.5466 Å; angles 98.33, 98.33, 135.25 degrees
Last column: nearest neighbours and their distance in Å.
Positions (direct):
Ca 0.0177 0.1250 0.3927  2 As 2.93
Ca 0.3750 0.9823 0.1073  2 As 2.93
Ca 0.7323 0.6250 0.6073  2 As 2.93
Ca 0.8750 0.2677 0.8927  2 As 2.93
Y 0.2500 0.7500 0.5000  2 As 2.87
Y 0.5000 0.5000 0.0000  2 As 2.87
As 0.0000 0.0000 0.0000  2 Y 2.87, 4 Ca 2.93
As 0.7500 0.2500 0.5000  2 Y 2.87, 4 Ca 2.93

Compound: Ca2YAs
Source: the Alexandria database
Functional: PBE-GGA
Structure: optimized geometry

N(E_F), states/eV/f.u.: 3.3
Total DFT energy (no corrections), eV per atom: -4.3311

Cell lengths 3.7032, 3.7032, 9.3442 Å; angles 90.00, 90.00, 90.14 degrees
Last column: nearest neighbours and their distance in Å.
Positions (direct):
Ca 0.0000 0.0000 0.0000  8 Ca 3.70-4.10, 4 Y 3.93-3.94
Ca 0.5000 0.5000 0.3371  4 As 3.21-3.22, 1 Y 3.26
Y 0.5000 0.5000 0.6857  4 As 2.96-2.97, 1 Ca 3.26
As 0.0000 0.0000 0.5368  4 Y 2.96-2.97, 4 Ca 3.21-3.22

Compound: CaY2As2
Source: the Alexandria database
Functional: PBE-GGA
Structure: optimized geometry

N(E_F), states/eV/f.u.: 0.6
Offset from the most stable computed form, meV/atom: 0.0

Cell lengths 7.8760, 7.8760, 3.9819 Å; angles 90.00, 90.00, 90.00 degrees
Last column: nearest neighbours and their distance in Å.
Positions (direct):
Ca 0.0000 0.0000 0.0000  4 As 3.00
Ca 0.5000 0.5000 0.0000  4 As 3.00
Y 0.1553 0.3447 0.5000  6 As 2.95-3.12
Y 0.3447 0.8447 0.5000  6 As 2.95-3.12
Y 0.6553 0.1553 0.5000  6 As 2.95-3.12
Y 0.8447 0.6553 0.5000  6 As 2.95-3.12
As 0.1493 0.6493 0.0000  6 Y 2.95-3.12, 2 Ca 3.00
As 0.3507 0.1493 0.0000  6 Y 2.95-3.12, 2 Ca 3.00
As 0.6493 0.8507 0.0000  6 Y 2.95-3.12, 2 Ca 3.00
As 0.8507 0.3507 0.0000  6 Y 2.95-3.12, 2 Ca 3.00